VASP calculation (PBE-GGA) on crystalline LiCa2As at its relaxed geometry.

Output
Space-group type   No. 44
Formation enthalpy at 0 K   -0.53 eV per atom

```
data_LiCa2As
_chemical_formula_sum 'Li1 Ca2 As1'
_cell_length_a 6.8122
_cell_length_b 6.8122
_cell_length_c 6.8122
_cell_angle_alpha 147.36
_cell_angle_beta 139.07
_cell_angle_gamma 53.30
_space_group_name_H-M_alt 'P 1'
_space_group_IT_number 1
loop_
_space_group_symop_operation_xyz
'x,y,z'
loop_
_atom_site_label
_atom_site_type_symbol
_atom_site_fract_x
_atom_site_fract_y
_atom_site_fract_z
Li1 Li 0.0000 0.0000 0.0000
Ca1 Ca 0.3565 0.3565 0.0000
Ca2 Ca 0.6525 0.1525 0.5000
As1 As 0.1566 0.6566 0.5000
```